Compound: Y5HoSn6
Source: Alexandria
Functional: PBE
Structure: optimized geometry

* DOS at the Fermi energy: 5.8 states/eV/f.u.
* raw total energy: -5.724 eV/atom
* E_form: -0.6482 eV/atom
* space group: No. 12
* magnetization: 0.0 μB/cell

Cell lengths 9.168, 5.734, 7.594 Å; angles 67.82, 80.73, 64.75 degrees
Element x y z (fractional)
Y: 0.000 0.666 0.668
Sn: 0.249 0.586 0.333
Y: 0.000 0.334 0.332
Sn: 0.749 0.754 0.000
Y: 0.500 0.167 0.665
Y: 0.500 0.500 0.000
Ho: 0.000 0.000 0.000
Sn: 0.251 0.246 0.000
Sn: 0.751 0.082 0.333
Sn: 0.751 0.414 0.667
Y: 0.500 0.833 0.335
Sn: 0.249 0.918 0.667

---

Compound: YHo3Sn
Source: Alexandria
Functional: PBE
Structure: optimized geometry

* DOS at the Fermi energy: 5.9 states/eV/f.u.
* raw total energy: -5.093 eV/atom
* E_form: -0.2527 eV/atom
* space group: No. 14
* magnetization: 0.0 μB/cell

Cell lengths 8.509, 8.875, 9.529 Å; angles 122.64, 90.00, 90.00 degrees
Element x y z (fractional)
Ho: 0.409 0.086 0.791
Sn: 0.248 0.904 0.949
Sn: 0.252 0.904 0.449
Sn: 0.752 0.096 0.051
Y: 0.937 0.720 0.291
Ho: 0.563 0.717 0.427
Ho: 0.304 0.589 0.043
Sn: 0.748 0.096 0.551
Ho: 0.937 0.717 0.927
Ho: 0.696 0.411 0.957
Ho: 0.063 0.283 0.073
Y: 0.063 0.280 0.709
Ho: 0.804 0.411 0.457
Ho: 0.437 0.283 0.573
Ho: 0.909 0.914 0.709
Y: 0.563 0.720 0.791
Y: 0.437 0.280 0.209
Ho: 0.196 0.589 0.543
Ho: 0.591 0.914 0.209
Ho: 0.091 0.086 0.291

---

Compound: YHo2Sn2
Source: Alexandria
Functional: PBE
Structure: optimized geometry

* DOS at the Fermi energy: 3.6 states/eV/f.u.
* raw total energy: -5.291 eV/atom
* E_form: -0.5662 eV/atom
* space group: No. 12
* magnetization: 0.0 μB/cell

Cell lengths 5.187, 5.187, 6.539 Å; angles 66.89, 66.89, 60.22 degrees
Element x y z (fractional)
Ho: 0.209 0.709 0.375
Sn: 0.592 0.092 0.225
Y: 0.000 0.500 0.000
Sn: 0.408 0.908 0.775
Ho: 0.791 0.291 0.625

---

Compound: Ho2ZnSn2
Source: Alexandria
Functional: PBE
Structure: optimized geometry

* DOS at the Fermi energy: 0.8 states/eV/f.u.
* raw total energy: -4.231 eV/atom
* E_form: -0.5443 eV/atom
* space group: No. 36
* magnetization: 0.0 μB/cell

Cell lengths 4.608, 6.859, 8.532 Å; angles 90.00, 105.67, 90.00 degrees
Element x y z (fractional)
Zn: 0.595 0.550 0.190
Ho: 0.991 0.725 0.982
Ho: 0.202 0.942 0.405
Ho: 0.009 0.225 0.018
Ho: 0.798 0.442 0.595
Sn: 0.426 0.462 0.852
Sn: 0.574 0.962 0.148
Sn: 0.173 0.455 0.346
Zn: 0.405 0.050 0.810
Sn: 0.827 0.955 0.654

---

Compound: Ho2Zn3Sn
Source: Alexandria
Functional: PBE
Structure: optimized geometry

* DOS at the Fermi energy: 3.4 states/eV/f.u.
* raw total energy: -3.284 eV/atom
* E_form: -0.4535 eV/atom
* excess energy over the best structure of this formula in the dataset: 21 meV/atom
* space group: No. 25
* magnetization: 0.0 μB/cell

Cell lengths 3.579, 4.518, 7.898 Å; angles 90.00, 90.00, 90.00 degrees
Element x y z (fractional)
Zn: 0.500 0.000 0.830
Ho: 0.000 0.000 0.515
Zn: 0.500 0.500 0.682
Sn: 0.500 0.500 0.335
Zn: 0.500 0.000 0.147
Ho: 0.000 0.500 0.990

---

Compound: Ho4ZnSn
Source: Alexandria
Functional: PBE
Structure: optimized geometry

* DOS at the Fermi energy: 7.9 states/eV/f.u.
* raw total energy: -4.251 eV/atom
* E_form: -0.3199 eV/atom
* space group: No. 15
* magnetization: 0.0 μB/cell

Cell lengths 5.891, 8.515, 8.130 Å; angles 114.79, 102.20, 106.75 degrees
Element x y z (fractional)
Zn: 0.750 0.000 0.000
Ho: 0.285 0.624 0.840
Sn: 0.371 0.621 0.242
Ho: 0.226 0.295 0.365
Sn: 0.629 0.379 0.758
Ho: 0.715 0.376 0.160
Ho: 0.638 0.070 0.365
Ho: 0.056 0.216 0.840
Ho: 0.362 0.930 0.635
Zn: 0.250 0.000 0.000
Ho: 0.944 0.784 0.160
Ho: 0.774 0.705 0.635

---

Compound: Ho12Zn5Sn3
Source: Alexandria
Functional: PBE
Structure: optimized geometry

* DOS at the Fermi energy: 27.2 states/eV/f.u.
* raw total energy: -3.608 eV/atom
* E_form: 0.0572 eV/atom
* space group: No. 230
* magnetization: 0.0 μB/cell

Cell lengths 14.824, 14.824, 14.824 Å; angles 109.47, 109.47, 109.47 degrees
Element x y z (fractional)
Ho: 0.579 0.626 0.411
Zn: 0.625 0.750 0.875
Zn: 0.250 0.375 0.625
Zn: 0.750 0.125 0.875
Zn: 0.250 0.875 0.125
Ho: 0.332 0.547 0.421
Ho: 0.079 0.911 0.126
Ho: 0.285 0.411 0.832
Sn: 0.125 0.250 0.875
Ho: 0.953 0.374 0.285
Sn: 0.125 0.875 0.750
Ho: 0.285 0.874 0.953
Ho: 0.911 0.832 0.785
Ho: 0.421 0.374 0.589
Ho: 0.374 0.421 0.089
Ho: 0.547 0.215 0.126
Zn: 0.500 0.500 0.000
Ho: 0.668 0.453 0.579
Ho: 0.626 0.047 0.215
Ho: 0.421 0.047 0.332
Sn: 0.875 0.125 0.250
Zn: 0.625 0.875 0.250
Ho: 0.785 0.453 0.374
Zn: 0.000 0.000 0.500
Ho: 0.874 0.285 0.453
Ho: 0.626 0.579 0.911
Ho: 0.215 0.668 0.089
Sn: 0.750 0.875 0.625
Zn: 0.875 0.250 0.625
Zn: 0.375 0.125 0.750
Ho: 0.126 0.411 0.079
Ho: 0.715 0.126 0.047
Ho: 0.668 0.215 0.589
Ho: 0.215 0.547 0.626
Ho: 0.953 0.579 0.168
Ho: 0.715 0.589 0.168
Zn: 0.000 0.500 0.000
Zn: 0.000 0.000 0.000
Sn: 0.375 0.750 0.625
Ho: 0.785 0.332 0.911
Zn: 0.125 0.375 0.250
Sn: 0.625 0.375 0.750
Sn: 0.250 0.625 0.875
Ho: 0.921 0.832 0.547
Zn: 0.500 0.000 0.000
Ho: 0.089 0.168 0.215
Ho: 0.332 0.785 0.411
Ho: 0.047 0.626 0.715
Ho: 0.589 0.874 0.421
Ho: 0.168 0.089 0.715
Ho: 0.079 0.168 0.453
Zn: 0.125 0.750 0.375
Ho: 0.411 0.126 0.579
Ho: 0.047 0.421 0.832
Ho: 0.832 0.921 0.047
Sn: 0.875 0.750 0.125
Ho: 0.126 0.715 0.547
Sn: 0.250 0.125 0.375
Ho: 0.411 0.285 0.332
Ho: 0.874 0.589 0.921
Ho: 0.579 0.953 0.668
Ho: 0.453 0.785 0.874
Zn: 0.500 0.000 0.500
Zn: 0.375 0.250 0.125
Ho: 0.832 0.911 0.285
Ho: 0.547 0.332 0.921
Sn: 0.375 0.625 0.250
Ho: 0.921 0.089 0.874
Ho: 0.589 0.715 0.668
Zn: 0.000 0.500 0.500
Ho: 0.453 0.668 0.079
Zn: 0.875 0.625 0.750
Ho: 0.374 0.953 0.785
Zn: 0.750 0.625 0.375
Zn: 0.500 0.500 0.500
Ho: 0.911 0.079 0.626
Ho: 0.168 0.079 0.953
Ho: 0.089 0.921 0.374
Sn: 0.750 0.375 0.125
Sn: 0.625 0.250 0.375

---

Compound: Ho2ZnSn
Source: Alexandria
Functional: PBE
Structure: optimized geometry

* DOS at the Fermi energy: 3.2 states/eV/f.u.
* raw total energy: -4.094 eV/atom
* E_form: -0.4862 eV/atom
* space group: No. 123
* magnetization: 0.0 μB/cell

Cell lengths 3.975, 4.956, 4.956 Å; angles 90.00, 90.00, 90.00 degrees
Element x y z (fractional)
Sn: 0.500 0.000 0.000
Ho: 0.000 0.000 0.500
Zn: 0.500 0.500 0.500
Ho: 0.000 0.500 0.000

---

Which of these has the highest DOS at the Fermi energy? Ho12Zn5Sn3

---

Which value of DOS at the Fermi energy does entry 2 give? 5.9 states/eV/f.u.